# 1
A relaxed structure of PmNd3Er3S8, computed with PBE-GGA.

Cell and atoms, written as CIF:
```
data_PmNd3Er3S8
_cell_length_a 7.8930
_cell_length_b 7.8930
_cell_length_c 19.6140
_cell_angle_alpha 90.00
_cell_angle_beta 90.00
_cell_angle_gamma 120.00
_space_group_name_H-M_alt 'R -3 m'
_space_group_IT_number 166
_space_group_name_Hall '-R 3 2"'
loop_
_atom_site_label
_atom_site_fract_x
_atom_site_fract_y
_atom_site_fract_z
_atom_site_occupancy
Pm1 0.0000 0.0000 0.0000 1
Nd1 0.0000 0.5000 0.5000 1
Er1 0.0000 0.5000 0.0000 1
S1 0.0000 0.0000 0.2560 1
S2 0.0126 0.5063 0.2531 1
```

Its energy relative to the elements, uncorrected is -2034 meV/atom. The calculation puts the mass density at 6.3 g/cm³. The value obtained for the total magnetic moment is 0.00 μB per cell. As for the uncorrected energy: -6.418 eV per atom.


# 2
A relaxed structure of KTl2Os, computed with PBE-GGA.

Cell and atoms, written as CIF:
```
data_KTl2Os
_cell_length_a 4.3677
_cell_length_b 5.5971
_cell_length_c 8.4930
_cell_angle_alpha 90.00
_cell_angle_beta 90.00
_cell_angle_gamma 90.00
_space_group_name_H-M_alt 'I m m m'
_space_group_IT_number 71
_space_group_name_Hall '-I 2 2'
loop_
_atom_site_label
_atom_site_fract_x
_atom_site_fract_y
_atom_site_fract_z
_atom_site_occupancy
K1 0.0000 0.0000 0.0000 1
Tl1 0.0000 0.5000 0.2080 1
Os1 0.0000 0.0000 0.5000 1
```

For the calculated formation energy, the calculation gives 0.862 eV per atom. As for the offset from the most stable computed form: 311 meV per atom. The calculation puts the mass density at 10.2 g/cm³. The value obtained for the total magnetic moment is 1.00 μB per cell. As for the uncorrected energy: -3.403 eV per atom.


# 3
A relaxed structure of Hg2MoAs, computed with PBE-GGA.

Cell and atoms, written as CIF:
```
data_Hg2MoAs
_cell_length_a 3.4945
_cell_length_b 4.4111
_cell_length_c 5.0149
_cell_angle_alpha 90.00
_cell_angle_beta 90.00
_cell_angle_gamma 90.00
_space_group_name_H-M_alt 'P m m m'
_space_group_IT_number 47
_space_group_name_Hall '-P 2 2'
loop_
_atom_site_label
_atom_site_fract_x
_atom_site_fract_y
_atom_site_fract_z
_atom_site_occupancy
Hg1 0.0000 0.0000 0.0000 1
Hg2 0.5000 0.5000 0.0000 1
Mo1 0.0000 0.5000 0.5000 1
As1 0.5000 0.0000 0.5000 1
```

For the calculated formation energy, the calculation gives 0.619 eV per atom. The calculation puts the mass density at 12.3 g/cm³. The value obtained for the total magnetic moment is 0.00 μB per cell. As for the uncorrected energy: -3.402 eV per atom.


# 4
A relaxed structure of LiCaRuF6, computed with PBE-GGA.

Cell and atoms, written as CIF:
```
data_LiCaRuF6
_cell_length_a 5.2699
_cell_length_b 5.2699
_cell_length_c 9.9532
_cell_angle_alpha 90.00
_cell_angle_beta 90.00
_cell_angle_gamma 120.00
_space_group_name_H-M_alt 'P -3 1 c'
_space_group_IT_number 163
_space_group_name_Hall '-P 3 2c'
loop_
_atom_site_label
_atom_site_fract_x
_atom_site_fract_y
_atom_site_fract_z
_atom_site_occupancy
Li1 0.3333 0.6667 0.2500 1
Ca1 0.0000 0.0000 0.0000 1
Ru1 0.3333 0.6667 0.7500 1
F1 0.0063 0.3527 0.6377 1
```

Its energy relative to the elements, uncorrected is -2663 meV/atom. The calculation puts the mass density at 3.6 g/cm³. The value obtained for the total magnetic moment is 2.00 μB per cell. As for the uncorrected energy: -5.376 eV per atom.


Which formula does entry 2 have?
KTl2Os


The highest uncorrected energy belongs to which entry?
Hg2MoAs